A relaxed Y2FeIr crystal. Source: the Alexandria database, functional GGA-PBE.

```
Y2FeIr
1.0
4.9028 0.0000 0.0000
0.0000 3.3582 -0.0050
0.0000 0.0073 4.9010
Y Ir Fe
2 1 1
direct
0.5000 0.1250 0.3752
0.0000 0.1249 0.8749
0.5000 0.6251 0.8753
0.0000 0.6250 0.3746
```

Computed properties:
E: -31.45 eV/cell

A relaxed Y2FeIr2 crystal. Source: the Alexandria database, functional GGA-PBE.

```
Y2FeIr2
1.0
-6.6053 0.3340 -1.4313
1.0060 -3.7771 -5.5237
-0.6902 -3.6099 2.3427
Ir Y Fe
4 4 2
direct
0.1383 0.3617 0.0000
0.8617 0.6383 0.0000
0.6383 0.1383 0.0000
0.3617 0.8617 0.0000
0.8248 0.3248 0.5000
0.3248 0.1752 0.5000
0.6752 0.8248 0.5000
0.1752 0.6752 0.5000
0.0000 0.0000 0.0000
0.5000 0.5000 0.0000
```

Computed properties:
E: -82.75 eV/cell

A relaxed Y2FeIr crystal. Source: the Alexandria database, functional GGA-PBE.

```
Y2FeIr
1.0
-2.1171 2.6510 -6.7441
-7.1826 -1.6977 1.5874
-5.0360 3.2393 -1.3712
Y Fe Ir
4 2 2
direct
0.1162 0.6250 0.2500
0.8750 0.8838 0.7500
0.3750 0.3662 0.7500
0.6338 0.1250 0.2500
0.2500 0.7500 0.5000
0.5000 0.5000 0.0000
0.0000 0.0000 0.0000
0.7500 0.2500 0.5000
```

Computed properties:
E: -59.39 eV/cell

A relaxed YFeIr2 crystal. Source: the Alexandria database, functional GGA-PBE.

```
YFeIr2
1.0
9.3387 -0.0259 -0.0152
8.9017 2.8234 -0.0152
8.9017 1.3652 2.4714
Fe Y Ir
1 1 2
direct
0.7413 0.7413 0.7413
0.4986 0.4986 0.4986
0.0034 0.0034 0.0034
0.2567 0.2567 0.2567
```

Computed properties:
E: -31.20 eV/cell

A relaxed YFe2Ir2 crystal. Source: the Alexandria database, functional GGA-PBE.

```
YFe2Ir2
1.0
4.0453 0.0000 0.0000
0.0000 4.0453 0.0000
2.0227 2.0227 4.9503
Y Fe Ir
1 2 2
direct
0.0000 0.0000 0.0000
0.3933 0.3933 0.2134
0.6067 0.6067 0.7866
0.2500 0.7500 0.5000
0.7500 0.2500 0.5000
```

Computed properties:
E: -42.02 eV/cell
ΔE to the lowest computed polymorph: 0.0 meV per atom

A relaxed Y2FeIr crystal. Source: the Alexandria database, functional GGA-PBE.

```
Y2FeIr
1.0
7.2470 -0.0283 -0.0173
6.1001 3.9126 -0.0173
6.1001 1.7753 3.4867
Ir Fe Y
1 1 2
direct
0.7942 0.7942 0.7942
0.4557 0.4557 0.4557
0.0359 0.0359 0.0359
0.2143 0.2143 0.2143
```

Computed properties:
E: -31.65 eV/cell

A relaxed YFeIr2 crystal. Source: the Alexandria database, functional GGA-PBE.

```
YFeIr2
1.0
-2.3541 0.9721 -4.0544
0.4321 0.0003 -4.7685
-1.9302 -4.5361 -1.3581
Fe Y Ir
1 1 2
direct
0.7500 0.7500 0.7500
0.2500 0.2500 0.2500
0.0135 0.0135 0.9533
0.4865 0.4865 0.5467
```

Computed properties:
E: -32.94 eV/cell

A relaxed YFe3Ir crystal. Source: the Alexandria database, functional GGA-PBE.

```
YFe3Ir
1.0
-3.3242 1.5820 2.8723
-0.6749 -4.3325 1.6052
3.2090 0.7276 3.3130
Fe Y Ir
3 1 1
direct
0.5000 0.0000 0.0000
0.0000 0.5000 0.0000
0.0000 0.0000 0.5000
0.5000 0.5000 0.5000
0.0000 0.0000 0.0000
```

Computed properties:
E: -37.51 eV/cell
ΔE to the lowest computed polymorph: 0.0 meV per atom

A relaxed Y2FeIr crystal. Source: the Alexandria database, functional GGA-PBE.

```
Y2FeIr
1.0
3.2316 0.0000 0.0000
0.0000 3.2316 0.0000
0.0000 0.0000 8.3872
Y Ir Fe
2 1 1
direct
0.5000 0.5000 0.3166
0.0000 0.0000 0.9282
0.5000 0.5000 0.7068
0.0000 0.0000 0.5485
```

Computed properties:
E: -30.62 eV/cell

A relaxed Y2FeIr crystal. Source: the Alexandria database, functional GGA-PBE.

```
Y2FeIr
1.0
7.7695 -0.3392 -0.2014
6.9970 3.3944 -0.2014
6.9970 1.4477 3.0768
Ir Y Fe
1 2 1
direct
0.7500 0.7500 0.7500
0.4932 0.4932 0.4932
0.0068 0.0068 0.0068
0.2500 0.2500 0.2500
```

Computed properties:
E: -29.93 eV/cell

A relaxed YFeIr2 crystal. Source: the Alexandria database, functional GGA-PBE.

```
YFeIr2
1.0
-3.9253 0.3096 2.3286
2.3233 -0.1578 3.9374
-0.1787 8.2605 3.0938
Y Ir Fe
2 4 2
direct
0.0000 0.0000 0.0000
0.7500 0.2500 0.5000
0.3750 0.5256 0.7500
0.4744 0.1250 0.2500
0.8750 0.7244 0.7500
0.2756 0.6250 0.2500
0.2500 0.7500 0.5000
0.5000 0.5000 0.0000
```

Computed properties:
E: -64.23 eV/cell

A relaxed Y2FeIr crystal. Source: the Alexandria database, functional GGA-PBE.

```
Y2FeIr
1.0
-4.7187 -1.3503 -3.4179
-3.9974 -4.1578 -1.5828
-4.0941 0.4239 2.2578
Fe Y Ir
1 2 1
direct
0.4570 0.4570 0.5430
0.0248 0.0248 0.9752
0.2391 0.2391 0.2608
0.7790 0.7790 0.7209
```

Computed properties:
E: -31.12 eV/cell

| no. | energy of formation from the pure elements (eV/atom) |
| --- | --- |
| 1 | -0.30 |
| 2 | -0.45 |
| 3 | 0.14 |
| 4 | 0.36 |
| 5 | -0.18 |
| 6 | -0.35 |
| 7 | -0.07 |
| 8 | 0.64 |
| 9 | -0.09 |
| 10 | 0.08 |
| 11 | 0.13 |
| 12 | -0.22 |